(1)
First-principles (PBE-GGA) data for a relaxed Mg3SeCl crystal, as listed in Alexandria.

Properties
energy relative to the elements, uncorrected	-0.01	eV/atom

abc: 5.0916 5.0916 5.0916
angles: 90.00 90.00 90.00
Element x y z (fractional)
Mg  0.5000  0.0000  0.0000
Mg  0.0000  0.5000  0.0000
Mg  0.0000  0.0000  0.5000
Cl  0.0000  0.0000  0.0000
Se  0.5000  0.5000  0.5000



(2)
First-principles (PBE-GGA) data for a relaxed ThScHgRh crystal, as listed in Alexandria.

Properties
final energy	-23.18	eV/cell

abc: 5.0542 5.0542 5.0542
angles: 60.00 60.00 60.00
Element x y z (fractional)
Rh  0.7500  0.7500  0.7500
Sc  0.0000  0.0000  0.0000
Th  0.5000  0.5000  0.5000
Hg  0.2500  0.2500  0.2500



(3)
First-principles (PBE-GGA) data for a relaxed LaInSb2 crystal, as listed in Alexandria.

Properties
energy relative to the elements, uncorrected	-0.63	eV/atom

abc: 4.4890 4.4890 12.0418
angles: 90.17 90.17 89.78
Element x y z (fractional)
La  0.0019  0.0019  0.2068
La  0.9981  0.9981  0.7932
Sb  0.5000  0.0000  0.0000
Sb  0.0000  0.5000  0.0000
Sb  0.4978  0.4978  0.7112
Sb  0.5022  0.5022  0.2888
In  0.7592  0.2408  0.5000
In  0.2408  0.7592  0.5000



(4)
First-principles (PBE-GGA) data for a relaxed CeZn4Pb crystal, as listed in Alexandria.

Properties
final energy	-15.18	eV/cell

abc: 5.5987 5.5987 5.5987
angles: 60.00 60.00 60.00
Site moments in Bohr magnetons follow the coordinates.
Element x y z (fractional)
Zn  0.1266  0.6245  0.6245  0.01
Zn  0.6245  0.6245  0.1266  0.01
Zn  0.6245  0.1266  0.6245  0.01
Zn  0.6245  0.6245  0.6245  0.01
Pb  0.0000  0.0000  0.0000  0.02
Ce  0.2500  0.2500  0.2500  0.87



(5)
First-principles (PBE-GGA) data for a relaxed BaCd2Bi2 crystal, as listed in Alexandria.

Properties
final energy	-54.25	eV/cell

abc: 4.9584 10.1810 13.1221
angles: 90.00 90.00 90.00
Element x y z (fractional)
Ba  0.7500  0.7930  0.1656
Ba  0.2500  0.7070  0.6656
Ba  0.2500  0.2070  0.8344
Ba  0.7500  0.2930  0.3344
Cd  0.2500  0.0795  0.5497
Cd  0.7500  0.9205  0.4503
Cd  0.2500  0.7116  0.3638
Cd  0.2500  0.5795  0.9503
Cd  0.7500  0.2884  0.6362
Cd  0.7500  0.4205  0.0497
Cd  0.7500  0.7884  0.8638
Cd  0.2500  0.2116  0.1362
Bi  0.2500  0.0122  0.3178
Bi  0.7500  0.9878  0.6822
Bi  0.2500  0.3797  0.5365
Bi  0.7500  0.4878  0.8178
Bi  0.7500  0.1203  0.0365
Bi  0.2500  0.8797  0.9635
Bi  0.2500  0.5122  0.1822
Bi  0.7500  0.6203  0.4635



(6)
First-principles (PBE-GGA) data for a relaxed CaSbPtI2 crystal, as listed in Alexandria.

Properties
energy relative to the elements, uncorrected	-0.23	eV/atom

abc: 5.5718 5.5718 5.3211
angles: 90.00 90.00 90.00
Site moments in Bohr magnetons follow the coordinates.
Element x y z (fractional)
Pt  0.0000  0.0000  0.0000  0.13
I  0.0000  0.5000  0.0000  0.05
I  0.5000  0.0000  0.0000  0.05
Ca  0.5000  0.5000  0.5000  0.04
Sb  0.0000  0.0000  0.5000  0.26



(7)
First-principles (PBE-GGA) data for a relaxed LiBC crystal, as listed in Alexandria.

Properties
final energy	-35.29	eV/cell

abc: 4.0048 4.0048 5.5999
angles: 90.00 90.00 120.00
Element x y z (fractional)
Li  0.3333  0.6667  0.2500
Li  0.6667  0.3333  0.7500
C  0.0000  0.0000  0.5000
C  0.0000  0.0000  0.0000
B  0.0000  0.0000  0.7500
B  0.0000  0.0000  0.2500



(8)
First-principles (PBE-GGA) data for a relaxed Dy6Te2PbSe3 crystal, as listed in Alexandria.

Properties
energy relative to the elements, uncorrected	-1.40	eV/atom

abc: 4.2054 8.5285 9.4934
angles: 103.48 102.80 90.00
Element x y z (fractional)
Dy  0.6694  0.0630  0.3387
Dy  0.3306  0.9370  0.6613
Dy  0.9942  0.2574  0.9885
Dy  0.6585  0.6001  0.3170
Dy  0.3415  0.3999  0.6830
Dy  0.0058  0.7426  0.0115
Se  0.5000  0.5000  0.0000
Se  0.8316  0.1681  0.6632
Se  0.1684  0.8319  0.3368
Te  0.1685  0.3360  0.3370
Te  0.8315  0.6640  0.6630
Pb  0.5000  0.0000  0.0000



(9)
First-principles (PBE-GGA) data for a relaxed ZnCoSi crystal, as listed in Alexandria.

Properties
energy relative to the elements, uncorrected	-0.17	eV/atom

abc: 4.6499 4.6499 4.6499
angles: 143.56 141.55 54.01
Site moments in Bohr magnetons follow the coordinates.
Element x y z (fractional)
Si  0.3558  0.3558  0.0000  0.00
Co  0.9800  0.9800  0.0000  0.15
Zn  0.6642  0.6642  0.0000  -0.01



(10)
First-principles (PBE-GGA) data for a relaxed YFeSb2Te crystal, as listed in Alexandria.

Properties
energy relative to the elements, uncorrected	0.82	eV/atom

abc: 5.7851 5.7851 5.7220
angles: 90.00 90.00 90.00
Site moments in Bohr magnetons follow the coordinates.
Element x y z (fractional)
Y  0.0000  0.0000  0.0000  0.01
Sb  0.0000  0.5000  0.0000  -0.07
Sb  0.5000  0.0000  0.0000  -0.07
Fe  0.5000  0.5000  0.5000  3.40
Te  0.0000  0.0000  0.5000  -0.03



(11)
First-principles (PBE-GGA) data for a relaxed HfBe17Rh crystal, as listed in Alexandria.

Properties
final energy	-84.60	eV/cell

abc: 5.5635 5.5635 5.5635
angles: 83.00 83.00 83.00
Element x y z (fractional)
Be  0.0112  0.0112  0.4905
Be  0.3517  0.3517  0.8326
Be  0.2997  0.9936  0.7068
Be  0.8981  0.8981  0.8981
Be  0.0112  0.4905  0.0112
Be  0.3517  0.8326  0.3517
Be  0.4905  0.0112  0.0112
Be  0.7068  0.2997  0.9936
Be  0.8326  0.3517  0.3517
Be  0.9936  0.7068  0.2997
Be  0.2997  0.7068  0.9936
Be  0.7068  0.9936  0.2997
Be  0.0959  0.0959  0.0959
Be  0.1371  0.6555  0.6555
Be  0.6555  0.1371  0.6555
Be  0.6555  0.6555  0.1371
Be  0.9936  0.2997  0.7068
Rh  0.6680  0.6680  0.6680
Hf  0.3407  0.3407  0.3407



(12)
First-principles (PBE-GGA) data for a relaxed Mn2Ni4Au2N crystal, as listed in Alexandria.

Properties
energy relative to the elements, uncorrected	-0.06	eV/atom

abc: 5.3830 5.3830 5.3830
angles: 91.68 119.04 119.04
Site moments in Bohr magnetons follow the coordinates.
Element x y z (fractional)
Mn  0.0000  0.2634  0.2634  3.46
Mn  0.0000  0.7366  0.7366  3.46
Au  0.5000  0.7500  0.2500  0.08
Au  0.5000  0.2500  0.7500  0.08
Ni  0.0000  0.2537  0.7463  0.35
Ni  0.0000  0.7463  0.2537  0.35
Ni  0.5075  0.2537  0.2537  0.35
Ni  0.4925  0.7463  0.7463  0.35
N  0.0000  0.0000  0.0000  -0.10



(13)
First-principles (PBE-GGA) data for a relaxed AcICl crystal, as listed in Alexandria.

Properties
energy relative to the elements, uncorrected	-1.62	eV/atom

abc: 4.0616 5.2909 5.2909
angles: 120.00 90.00 90.00
Element x y z (fractional)
Ac  0.4990  0.6667  0.3333
Cl  0.5006  0.3333  0.6667
I  0.0004  0.0000  0.0000



(14)
First-principles (PBE-GGA) data for a relaxed Ac2Zn3Ag5 crystal, as listed in Alexandria.

Properties
final energy	-57.11	eV/cell

abc: 6.2932 9.1974 9.1974
angles: 71.30 69.99 69.99
Element x y z (fractional)
Ag  0.7500  0.5000  0.5000
Ag  0.5297  0.7203  0.7203
Ag  0.8688  0.0194  0.2430
Ag  0.1312  0.9806  0.7570
Ag  0.0297  0.7203  0.7203
Ag  0.4703  0.2797  0.2797
Ag  0.9703  0.2797  0.2797
Ag  0.6312  0.7570  0.9806
Ag  0.2500  0.5000  0.5000
Ag  0.3688  0.2430  0.0194
Ac  0.1289  0.6382  0.1039
Ac  0.6289  0.1039  0.6382
Ac  0.3711  0.8961  0.3618
Ac  0.8711  0.3618  0.8961
Zn  0.1098  0.2437  0.5367
Zn  0.3902  0.4633  0.7563
Zn  0.7500  0.0000  0.0000
Zn  0.8902  0.7563  0.4633
Zn  0.2500  0.0000  0.0000
Zn  0.6098  0.5367  0.2437



(15)
First-principles (PBE-GGA) data for a relaxed Li8HoAg6 crystal, as listed in Alexandria.

Properties
final energy	-38.38	eV/cell

abc: 8.0223 8.0223 7.1415
angles: 55.83 55.83 60.00
Element x y z (fractional)
Li  0.4581  0.7937  0.6289
Li  0.5419  0.2063  0.3711
Li  0.1193  0.4581  0.6289
Li  0.8807  0.5419  0.3711
Li  0.2978  0.2978  0.1066
Li  0.7022  0.7022  0.8934
Li  0.2063  0.8807  0.3711
Li  0.7937  0.1193  0.6289
Ag  0.9307  0.3167  0.1336
Ag  0.6833  0.3810  0.8664
Ag  0.6190  0.9307  0.1336
Ag  0.3810  0.0693  0.8664
Ag  0.3167  0.6190  0.1336
Ag  0.0693  0.6833  0.8664
Ho  0.0000  0.0000  0.0000



(16)
First-principles (PBE-GGA) data for a relaxed AcTmCdIr crystal, as listed in Alexandria.

Properties
final energy	-19.83	eV/cell

abc: 5.2439 5.2439 5.2439
angles: 60.00 60.00 60.00
Element x y z (fractional)
Cd  0.7500  0.7500  0.7500
Ac  0.0000  0.0000  0.0000
Ir  0.2500  0.2500  0.2500
Tm  0.5000  0.5000  0.5000



(17)
First-principles (PBE-GGA) data for a relaxed Ho4Ni2I5 crystal, as listed in Alexandria.

Properties
energy relative to the elements, uncorrected	-0.83	eV/atom

abc: 4.0078 8.5326 11.6663
angles: 93.10 99.89 90.00
Element x y z (fractional)
I  0.8474  0.1693  0.6948
I  0.5000  0.0000  0.0000
I  0.2033  0.3222  0.4065
I  0.7967  0.6778  0.5935
I  0.1526  0.8307  0.3052
Ni  0.4522  0.5081  0.9044
Ni  0.5478  0.4919  0.0956
Ho  0.3460  0.4460  0.6920
Ho  0.0174  0.6952  0.0348
Ho  0.9826  0.3048  0.9652
Ho  0.6540  0.5540  0.3080



(18)
First-principles (PBE-GGA) data for a relaxed AcPN crystal, as listed in Alexandria.

Properties
energy relative to the elements, uncorrected	-0.86	eV/atom

abc: 4.0835 5.9300 9.7773
angles: 137.23 126.92 46.79
Element x y z (fractional)
Ac  0.7831  0.7818  0.4222
Ac  0.5962  0.8690  0.0110
P  0.4112  0.1335  0.7749
P  0.9681  0.5173  0.6583
N  0.6155  0.3893  0.0304
N  0.7637  0.2615  0.4028



(19)
First-principles (PBE-GGA) data for a relaxed Sm9In3O2 crystal, as listed in Alexandria.

Properties
energy relative to the elements, uncorrected	-1.05	eV/atom

abc: 6.9933 6.9933 8.5737
angles: 90.00 90.00 120.00
Element x y z (fractional)
Sm  0.8313  0.6627  0.3310
Sm  0.5000  0.5000  0.0000
Sm  0.1687  0.8313  0.6690
Sm  0.5000  0.0000  0.0000
Sm  0.0000  0.5000  0.0000
Sm  0.3373  0.1687  0.3310
Sm  0.1687  0.3373  0.6690
Sm  0.6627  0.8313  0.6690
Sm  0.8313  0.1687  0.3310
In  0.3333  0.6667  0.3330
In  0.6667  0.3333  0.6670
In  0.0000  0.0000  0.0000
O  0.6667  0.3333  0.1592
O  0.3333  0.6667  0.8408



(20)
First-principles (PBE-GGA) data for a relaxed Dy4AlCd2 crystal, as listed in Alexandria.

Properties
final energy	-25.09	eV/cell

abc: 5.1727 5.1727 8.8996
angles: 73.11 73.11 60.00
Element x y z (fractional)
Cd  0.2527  0.2527  0.2418
Cd  0.7473  0.7473  0.7582
Dy  0.3785  0.3785  0.8644
Dy  0.8736  0.8736  0.3793
Dy  0.6215  0.6215  0.1356
Dy  0.1264  0.1264  0.6207
Al  0.0000  0.0000  0.0000



(21)
First-principles (PBE-GGA) data for a relaxed DyHoSbO2 crystal, as listed in Alexandria.

Properties
energy relative to the elements, uncorrected	-2.72	eV/atom

abc: 3.8469 3.8469 7.1992
angles: 105.50 105.50 90.00
Element x y z (fractional)
Dy  0.1658  0.1658  0.3316
O  0.7505  0.2505  0.5011
O  0.2505  0.7505  0.5011
Sb  0.4996  0.4996  0.9992
Ho  0.8336  0.8336  0.6671



(22)
First-principles (PBE-GGA) data for a relaxed Ba3LaW crystal, as listed in Alexandria.

Properties
final energy	-13.68	eV/cell

abc: 6.2084 6.2084 6.2084
angles: 90.00 90.00 90.00
Site moments in Bohr magnetons follow the coordinates.
Element x y z (fractional)
Ba  0.5000  0.0000  0.0000  -0.03
Ba  0.0000  0.5000  0.0000  -0.07
Ba  0.0000  0.0000  0.5000  -0.15
La  0.0000  0.0000  0.0000  -0.35
W  0.5000  0.5000  0.5000  0.51



(23)
First-principles (PBE-GGA) data for a relaxed Li2ScCl crystal, as listed in Alexandria.

Properties
energy relative to the elements, uncorrected	-0.32	eV/atom

abc: 3.1832 4.7175 5.3253
angles: 90.00 90.00 90.00
Site moments in Bohr magnetons follow the coordinates.
Element x y z (fractional)
Cl  0.0000  0.5000  0.5000  0.01
Li  0.0000  0.0000  0.0000  0.02
Li  0.5000  0.5000  0.0000  0.00
Sc  0.5000  0.0000  0.5000  0.23